This record from the Alexandria database describes crystalline Na2CoBF8 at its relaxed geometry. The functional is PBE+U.

Cell: 6.3295 6.3295 4.8356 Å, 90.00 90.00 120.00°
Fractional coordinates of all 12 atoms:
1 Na 0.3333 0.6667 0.1855
2 Na 0.6667 0.3333 0.8145
3 Co 0.0000 0.0000 0.5000
4 B 0.0000 0.0000 0.0000
5 F 0.1205 0.2411 0.1991
6 F 0.1205 0.8795 0.1991
7 F 0.2411 0.1205 0.8009
8 F 0.3333 0.6667 0.6793
9 F 0.6667 0.3333 0.3207
10 F 0.7589 0.8795 0.1991
11 F 0.8795 0.1205 0.8009
12 F 0.8795 0.7589 0.8009

Computed properties:
- N(E_F): 15.25 states/eV/cell
- VASP energy: -53.88 eV/cell